(1)
# YScGa PBE relaxed
# Energy above the most stable polymorph in this dataset = 20.1 kJ per mole of atoms
# DFT total energy = -16.62 eV per formula unit
# Calculated formation energy = -265.7 meV/atom
data_YScGa
_chemical_formula_sum 'Y4 Sc4 Ga4'
_cell_length_a 6.8195
_cell_length_b 6.8195
_cell_length_c 6.8195
_cell_angle_alpha 90.00
_cell_angle_beta 90.00
_cell_angle_gamma 90.00
_space_group_name_H-M_alt 'F -4 3 m'
_space_group_IT_number 216
_space_group_name_Hall 'F -4 2 3'
loop_
_atom_site_label
_atom_site_fract_x
_atom_site_fract_y
_atom_site_fract_z
Y1 0.0000 0.0000 0.0000
Sc1 0.0000 0.0000 0.5000
Ga1 0.2500 0.2500 0.2500



(2)
# CeBi2Se4 PBE relaxed
# DFT total energy = -32.99 eV per formula unit
# Uncorrected formation energy = -765 meV per atom
data_CeBi2Se4
_chemical_formula_sum 'Ce4 Bi8 Se16'
_cell_length_a 4.4289
_cell_length_b 13.5898
_cell_length_c 13.7469
_cell_angle_alpha 90.00
_cell_angle_beta 90.00
_cell_angle_gamma 90.00
_space_group_name_H-M_alt 'C m c m'
_space_group_IT_number 63
_space_group_name_Hall '-C 2c 2'
loop_
_atom_site_label
_atom_site_fract_x
_atom_site_fract_y
_atom_site_fract_z
Ce1 0.0000 0.1245 0.2500
Bi1 0.0000 0.3727 0.0636
Se1 0.0000 0.0000 0.0000
Se2 0.0000 0.2735 0.6232
Se3 0.0000 0.4790 0.2500



(3)
# ReMoIr2 PBE relaxed
# Energy above the most stable polymorph in this dataset = 0.0 kJ per mole of atoms
# DFT total energy = -42.32 eV per formula unit
# Calculated formation energy = -329.4 meV/atom
data_ReMoIr2
_chemical_formula_sum 'Re1 Mo1 Ir2'
_cell_length_a 2.7536
_cell_length_b 4.4288
_cell_length_c 4.8456
_cell_angle_alpha 90.00
_cell_angle_beta 90.00
_cell_angle_gamma 90.00
_space_group_name_H-M_alt 'P m m 2'
_space_group_IT_number 25
_space_group_name_Hall 'P 2 -2'
loop_
_atom_site_label
_atom_site_fract_x
_atom_site_fract_y
_atom_site_fract_z
Re1 0.0000 0.0000 0.0000
Mo1 0.0000 0.5000 0.3336
Ir1 0.5000 0.0000 0.4997
Ir2 0.5000 0.5000 0.8409